Record 1
PBE Bi4Pd5Pt2, relaxed; space group = P2/m, No. 10; density = 12.93 g/cm3
1.0
3.696 0.000 0.000
0.000 7.225 0.014
0.000 1.060 8.458
Pt Pd Bi
2 5 4
Direct
0.000 0.094 0.352
0.000 0.906 0.648
0.000 0.842 0.134
0.000 0.521 0.670
0.000 0.500 0.000
0.000 0.158 0.866
0.000 0.479 0.330
0.500 0.246 0.585
0.500 0.782 0.888
0.500 0.218 0.112
0.500 0.754 0.415

Record 2
PBE RbBPd2Ru, relaxed; space group = P4/mmm, No. 123; density = 7.25 g/cm3
1.0
4.175 0.000 0.000
0.000 5.393 0.000
0.000 0.000 4.175
B Ru Rb Pd
1 1 1 2
Direct
0.000 0.000 0.000
0.500 0.500 0.500
0.000 0.500 0.000
0.500 0.000 0.000
0.000 0.000 0.500

Record 3
PBE AcCeCI, relaxed; space group = R3m, No. 160; uncorrected formation energy = -2.33 eV per formula unit; density = 7.73 g/cm3
1.0
-0.880 -0.411 -3.809
-1.429 -2.548 2.628
-5.476 5.826 2.661
Ce Ac C I
1 1 1 1
Direct
0.083 0.939 0.038
0.516 0.157 0.687
0.324 0.560 0.900
0.954 0.376 0.345

Record 4
PBE PmThIrCl, relaxed; space group = Cm, No. 8; uncorrected formation energy = -4.65 eV per formula unit; density = 8.67 g/cm3
1.0
-3.857 1.217 -0.977
1.933 -2.853 -2.328
-0.975 -5.462 5.894
Pm Th Ir Cl
1 1 1 1
Direct
0.507 0.151 0.674
0.098 0.947 0.061
0.310 0.553 0.878
0.963 0.380 0.356

Number 1: magnetization 0.000 μB/f.u., volume 20.5 A^3/atom, E -5.04 eV/atom. Number 2: magnetization 2.266 μB/f.u., volume 18.8 A^3/atom, E -4.42 eV/atom. Number 3: magnetization 0.518 μB/f.u., volume 27.2 A^3/atom, E -5.79 eV/atom. Number 4: magnetization 0.000 μB/f.u., volume 29.0 A^3/atom, E -6.88 eV/atom.